PtAuS3 after structural relaxation. Source: Alexandria via LeMat-Bulk, functional GGA-PBE.

The calculation puts the formation energy (no corrections) at 0.803 eV/atom. The calculation puts the density of states at the Fermi level at 4.94 states/eV per cell.

abc: 4.729 4.729 4.729
angles: 90.00 90.00 90.00
Space group Pm-3m (No. 221)
Inequivalent atoms, fractional coordinates:
Pt 0.000 0.000 0.000 x1
Au 0.500 0.500 0.500 x1
S 0.000 0.000 0.500 x3

=====

PtAu3S after structural relaxation. Source: Alexandria via LeMat-Bulk, functional GGA-PBE.

The calculation puts the formation energy (no corrections) at 0.725 eV/atom. The calculation puts the density of states at the Fermi level at 3.57 states/eV per cell.

abc: 4.675 4.675 4.675
angles: 90.00 90.00 90.00
Space group Pm-3m (No. 221)
Inequivalent atoms, fractional coordinates:
Pt 0.000 0.000 0.000 x1
Au 0.000 0.500 0.500 x3
S 0.500 0.500 0.500 x1

=====

Pt3Au5S12 after structural relaxation. Source: Alexandria via LeMat-Bulk, functional GGA-PBE.

The calculation puts the formation energy (no corrections) at 0.258 eV/atom. The calculation puts the density of states at the Fermi level at 101.61 states/eV per cell.

abc: 15.289 15.289 15.289
angles: 90.00 90.00 90.00
Space group Ia-3d (No. 230)
Inequivalent atoms, fractional coordinates:
Pt 0.000 0.250 0.125 x24
Au 0.000 0.000 0.000 x16
Au 0.000 0.250 0.375 x24
S 0.003 0.033 0.164 x96

=====

PtAu3S after structural relaxation. Source: Alexandria via LeMat-Bulk, functional GGA-PBE.

The calculation puts the formation energy (no corrections) at 1.138 eV/atom. The calculation puts the density of states at the Fermi level at 7.08 states/eV per cell.

abc: 5.052 5.052 5.052
angles: 90.00 90.00 90.00
Space group Pm-3m (No. 221)
Inequivalent atoms, fractional coordinates:
Pt 0.000 0.000 0.000 x1
Au 0.000 0.000 0.500 x3
S 0.500 0.500 0.500 x1